K2LiCaCr | Alexandria | PBE-GGA | optimized geometry; total magnetization = 0.9871 μB/atom; total DFT energy (no corrections) = -2.029 eV per atom; DOS at the Fermi energy = 5.4 states/eV per cell; symmetry = P4/mmm (123); calculated formation energy = 1.1183 eV/atom; calculated volume = 60.71 A^3/atom; crystal system = tetragonal
1.0
-3.713 1.175 -6.066
4.021 -2.958 -3.034
-3.682 -6.104 1.072
Li K Ca Cr
1 2 1 1
Cartesian
2.010 -1.479 -1.517
-1.841 -3.052 0.536
-1.857 0.587 -3.033
0.000 0.000 0.000
-1.687 -3.944 -4.014



KCa2Cr2N4 | Alexandria | PBE-GGA | optimized geometry; total magnetization = 0.1297 μB/atom; total DFT energy (no corrections) = -7.009 eV per atom; formation energy without anion corrections = -0.603 eV/atom; DOS at the Fermi energy = 3.3 states/eV per cell; symmetry = C2/m (12); calculated volume = 16.81 A^3/atom; crystal system = monoclinic
1.0
3.252 0.000 0.000
-1.626 7.491 -2.240
0.000 -4.538 7.565
K Ca N Cr
1 2 4 2
Cartesian
0.000 0.000 0.000
0.000 -0.499 3.621
1.626 3.452 1.704
0.000 2.962 -0.146
1.626 -3.123 5.356
0.000 6.076 -0.031
1.626 -0.009 5.471
0.000 4.707 -1.018
1.626 -1.754 6.343



KNaCa2Cr | Alexandria | PBE-GGA | optimized geometry; total magnetization = 1.0067 μB/atom; total DFT energy (no corrections) = -2.290 eV per atom; DOS at the Fermi energy = 3.8 states/eV per cell; symmetry = P4/mmm (123); calculated formation energy = 0.9187 eV/atom; calculated volume = 46.04 A^3/atom; crystal system = tetragonal
1.0
-1.009 4.448 -4.212
-5.295 1.168 2.502
2.688 4.158 3.746
Ca Na Cr K
2 1 1 1
Cartesian
1.344 2.079 1.873
-0.505 2.224 -2.106
0.000 0.000 0.000
-1.808 4.887 1.018
-2.648 0.584 1.251



Q: Look up the total magnetization of the third one.
A: 1.0067 μB/atom